VASP calculation (GGA+U) on a geometry-optimized Cs2TeMo3O12 structure.

Properties
Total DFT energy (no corrections) = -6.390 eV/atom
Total magnetization = 0.000 μB per atom

Unit cell a=7.4970 b=7.4970 c=12.6937 alpha=90.00 beta=90.00 gamma=120.00
Closest atoms and distances in Å follow each position.
Fractional positions:
Cs 0.6667 0.3333 0.2287  6 O 3.10-3.20
Cs 0.6667 0.3333 0.5967  3 O 3.15
Cs 0.3333 0.6667 0.7287  6 O 3.10-3.20
Cs 0.3333 0.6667 0.0967  3 O 3.15
Te 0.0000 0.0000 0.1630  3 O 1.91
Te 0.0000 0.0000 0.6630  3 O 1.91
Mo 0.8599 0.6620 0.8957  3 O 1.76-1.84
Mo 0.3380 0.1979 0.8957  3 O 1.76-1.84
Mo 0.6620 0.8021 0.3957  3 O 1.76-1.84
Mo 0.8021 0.1401 0.8957  3 O 1.76-1.84
Mo 0.1401 0.3380 0.3957  3 O 1.76-1.84
Mo 0.1979 0.8599 0.3957  3 O 1.76-1.84
O 0.9111 0.4544 0.8589  1 Mo 1.84
O 0.1245 0.8752 0.9051  1 Mo 1.83
O 0.2607 0.1194 0.7320  1 Te 1.91
O 0.8011 0.6134 0.0306  1 Mo 1.76
O 0.0889 0.5456 0.3589  1 Mo 1.84
O 0.4568 0.9111 0.3589  1 Mo 1.84
O 0.8587 0.7393 0.7320  1 Te 1.91
O 0.6134 0.8123 0.5306  1 Mo 1.76
O 0.2494 0.1245 0.4051  1 Mo 1.83
O 0.1248 0.2494 0.9051  1 Mo 1.83
O 0.8755 0.1248 0.4051  1 Mo 1.83
O 0.1877 0.8011 0.5306  1 Mo 1.76
O 0.1413 0.2607 0.2320  1 Te 1.91
O 0.8752 0.7506 0.4051  1 Mo 1.83
O 0.1194 0.8587 0.2320  1 Te 1.91
O 0.7393 0.8806 0.2320  1 Te 1.91
O 0.5456 0.4568 0.8589  1 Mo 1.84
O 0.4544 0.5432 0.3589  1 Mo 1.84
O 0.5432 0.0889 0.8589  1 Mo 1.84
O 0.1989 0.3866 0.5306  1 Mo 1.76
O 0.8806 0.1413 0.7320  1 Te 1.91
O 0.3866 0.1877 0.0306  1 Mo 1.76
O 0.8123 0.1989 0.0306  1 Mo 1.76
O 0.7506 0.8755 0.9051  1 Mo 1.83